# PBE-GGA PrMgRu2O7, relaxed
# - Total DFT energy (no corrections): -156.488 eV/cell
# - Mass density: 5.66 g/cm³
# - Volume: 281.19 Å³ per cell
# - ΔE_f (raw): -1692 meV/atom
data_PrMgRu2O7
_chemical_formula_sum 'Pr2 Mg2 Ru4 O14'
_symmetry_space_group_name_H-M 'I -4 m 2'
_symmetry_Int_Tables_number 119
_symmetry_space_group_name_Hall 'I -4 -2'
_cell_length_a 3.908
_cell_length_b 3.908
_cell_length_c 18.410
_cell_angle_alpha 90.00
_cell_angle_beta 90.00
_cell_angle_gamma 90.00
loop_
_atom_site_label
_atom_site_fract_x
_atom_site_fract_y
_atom_site_fract_z
_atom_site_occupancy
Pr1 0.000 0.000 0.000 1
Mg1 0.000 0.500 0.250 1
Ru1 0.000 0.000 0.387 1
O1 0.000 0.000 0.285 1
O2 0.000 0.000 0.500 1
O3 0.000 0.500 0.103 1
O4 0.000 0.500 0.592 1

***

# PBE-GGA InCu2Ag, relaxed
# - Total DFT energy (no corrections): -38.649 eV/cell
# - Mass density: 8.56 g/cm³
# - Volume: 203.44 Å³ per cell
data_InCu2Ag
_chemical_formula_sum 'In3 Cu6 Ag3'
_symmetry_space_group_name_H-M 'R 3 m'
_symmetry_Int_Tables_number 160
_symmetry_space_group_name_Hall 'R 3 -2"'
_cell_length_a 3.0735
_cell_length_b 3.0735
_cell_length_c 24.8688
_cell_angle_alpha 90.00
_cell_angle_beta 90.00
_cell_angle_gamma 120.00
loop_
_atom_site_label
_atom_site_fract_x
_atom_site_fract_y
_atom_site_fract_z
_atom_site_occupancy
In1 0.0000 0.0000 0.0000 1
Cu1 0.0000 0.0000 0.2487 1
Cu2 0.0000 0.0000 0.5122 1
Ag1 0.0000 0.0000 0.7636 1

***

# PBE-GGA Ba6AsP2S, relaxed
# - Total DFT energy (no corrections): -84.373 eV/cell
# - Mass density: 4.14 g/cm³
# - Volume: 796.93 Å³ per cell
# - ΔE_f (raw): -1105 meV/atom
data_Ba6AsP2S
_chemical_formula_sum 'Ba12 As2 P4 S2'
_symmetry_space_group_name_H-M 'P 1 21/c 1'
_symmetry_Int_Tables_number 14
_cell_length_a 7.767
_cell_length_b 8.550
_cell_length_c 14.093
_cell_angle_alpha 90.00
_cell_angle_beta 121.62
_cell_angle_gamma 90.00
loop_
_symmetry_equiv_pos_as_xyz
'x,y,z'
'-x,-y,-z'
'-x,y+1/2,-z+1/2'
'x,-y+1/2,z+1/2'
loop_
_atom_site_label
_atom_site_fract_x
_atom_site_fract_y
_atom_site_fract_z
_atom_site_occupancy
Ba1 0.089 0.065 0.251 1
Ba2 0.279 0.689 0.090 1
Ba3 0.405 0.189 0.084 1
As1 0.000 0.000 0.000 1
P1 0.307 0.098 0.754 1
S1 0.500 0.000 0.500 1

***

# PBE-GGA TlHgB, relaxed
# - Total DFT energy (no corrections): -13.359 eV/cell
# - Mass density: 9.90 g/cm³
# - Volume: 139.51 Å³ per cell
data_TlHgB
_chemical_formula_sum 'Tl2 Hg2 B2'
_symmetry_space_group_name_H-M 'P 63/m m c'
_symmetry_Int_Tables_number 194
_symmetry_space_group_name_Hall '-P 6c 2c'
_cell_length_a 4.0422
_cell_length_b 4.0422
_cell_length_c 9.8592
_cell_angle_alpha 90.00
_cell_angle_beta 90.00
_cell_angle_gamma 120.00
loop_
_atom_site_label
_atom_site_fract_x
_atom_site_fract_y
_atom_site_fract_z
_atom_site_occupancy
Tl1 0.0000 0.0000 0.0000 1
Hg1 0.3333 0.6667 0.2500 1
B1 0.0000 0.0000 0.2500 1

***

# PBE-GGA LiCeDyRe, relaxed
# - Total DFT energy (no corrections): -98.539 eV/cell
# - Mass density: 9.67 g/cm³
# - Volume: 340.67 Å³ per cell
data_LiCeDyRe
_chemical_formula_sum 'Li4 Ce4 Dy4 Re4'
_symmetry_space_group_name_H-M 'F -4 3 m'
_symmetry_Int_Tables_number 216
_symmetry_space_group_name_Hall 'F -4 2 3'
_cell_length_a 6.984
_cell_length_b 6.984
_cell_length_c 6.984
_cell_angle_alpha 90.00
_cell_angle_beta 90.00
_cell_angle_gamma 90.00
loop_
_atom_site_label
_atom_site_fract_x
_atom_site_fract_y
_atom_site_fract_z
_atom_site_occupancy
Li1 0.000 0.000 0.000 1
Ce1 0.250 0.250 0.250 1
Dy1 0.250 0.250 0.750 1
Re1 0.000 0.000 0.500 1

***

# PBE-GGA CeMgGe2Pd, relaxed
# - Total DFT energy (no corrections): -50.875 eV/cell
# - Mass density: 6.99 g/cm³
# - Volume: 197.79 Å³ per cell
data_CeMgGe2Pd
_chemical_formula_sum 'Ce2 Mg2 Ge4 Pd2'
_symmetry_space_group_name_H-M 'I -4 m 2'
_symmetry_Int_Tables_number 119
_symmetry_space_group_name_Hall 'I -4 -2'
_cell_length_a 4.182
_cell_length_b 4.182
_cell_length_c 11.310
_cell_angle_alpha 90.00
_cell_angle_beta 90.00
_cell_angle_gamma 90.00
loop_
_atom_site_label
_atom_site_fract_x
_atom_site_fract_y
_atom_site_fract_z
_atom_site_occupancy
Ce1 0.000 0.000 0.000 1
Mg1 0.000 0.500 0.250 1
Ge1 0.000 0.000 0.391 1
Pd1 0.000 0.500 0.750 1

***

# PBE-GGA Li2Ag2Pd, relaxed
# - Total DFT energy (no corrections): -63.907 eV/cell
# - Mass density: 7.14 g/cm³
# - Volume: 312.76 Å³ per cell
# - E above lowest polymorph: 0.000 eV per atom
data_Li2Ag2Pd
_chemical_formula_sum 'Li8 Ag8 Pd4'
_symmetry_space_group_name_H-M 'C 1 2/m 1'
_symmetry_Int_Tables_number 12
_cell_length_a 9.413
_cell_length_b 4.372
_cell_length_c 7.886
_cell_angle_alpha 90.00
_cell_angle_beta 105.51
_cell_angle_gamma 90.00
loop_
_symmetry_equiv_pos_as_xyz
'x,y,z'
'-x,-y,-z'
'-x,y,-z'
'x,-y,z'
'x+1/2,y+1/2,z'
'-x+1/2,-y+1/2,-z'
'-x+1/2,y+1/2,-z'
'x+1/2,-y+1/2,z'
loop_
_atom_site_label
_atom_site_fract_x
_atom_site_fract_y
_atom_site_fract_z
_atom_site_occupancy
Li1 0.045 0.000 0.351 1
Li2 0.151 0.000 0.061 1
Ag1 0.058 0.500 0.852 1
Ag2 0.157 0.500 0.540 1
Pd1 0.248 0.000 0.772 1

***

# PBE-GGA Mg5NiAg6, relaxed
# - Total DFT energy (no corrections): -65.575 eV/cell
# - Mass density: 6.46 g/cm³
# - Volume: 425.27 Å³ per cell
data_Mg5NiAg6
_chemical_formula_sum 'Mg10 Ni2 Ag12'
_symmetry_space_group_name_H-M 'C 1 2/m 1'
_symmetry_Int_Tables_number 12
_cell_length_a 8.019
_cell_length_b 13.957
_cell_length_c 4.649
_cell_angle_alpha 90.00
_cell_angle_beta 125.18
_cell_angle_gamma 90.00
loop_
_symmetry_equiv_pos_as_xyz
'x,y,z'
'-x,-y,-z'
'-x,y,-z'
'x,-y,z'
'x+1/2,y+1/2,z'
'-x+1/2,-y+1/2,-z'
'-x+1/2,y+1/2,-z'
'x+1/2,-y+1/2,z'
loop_
_atom_site_label
_atom_site_fract_x
_atom_site_fract_y
_atom_site_fract_z
_atom_site_occupancy
Mg1 0.000 0.000 0.000 1
Mg2 0.000 0.166 0.500 1
Mg3 0.000 0.331 0.000 1
Ni1 0.000 0.500 0.500 1
Ag1 0.235 0.500 0.234 1
Ag2 0.241 0.340 0.741 1

***

# PBE-GGA TbSc2Ir, relaxed
# - Total DFT energy (no corrections): -28.079 eV/cell
# - Mass density: 8.19 g/cm³
# - Volume: 89.47 Å³ per cell
# - E above lowest polymorph: 0.105 eV per atom
data_TbSc2Ir
_chemical_formula_sum 'Tb1 Sc2 Ir1'
_symmetry_space_group_name_H-M 'P 4/m m m'
_symmetry_Int_Tables_number 123
_symmetry_space_group_name_Hall '-P 4 2'
_cell_length_a 3.255
_cell_length_b 3.255
_cell_length_c 8.444
_cell_angle_alpha 90.00
_cell_angle_beta 90.00
_cell_angle_gamma 90.00
loop_
_atom_site_label
_atom_site_fract_x
_atom_site_fract_y
_atom_site_fract_z
_atom_site_occupancy
Tb1 0.000 0.000 0.000 1
Sc1 0.500 0.500 0.312 1
Ir1 0.000 0.000 0.500 1

***

# PBE-GGA SrLaPtAu, relaxed
# - Total DFT energy (no corrections): -77.179 eV/cell
# - Mass density: 9.92 g/cm³
# - Volume: 414.21 Å³ per cell
# - E above lowest polymorph: 0.072 eV per atom
data_SrLaPtAu
_chemical_formula_sum 'Sr4 La4 Pt4 Au4'
_symmetry_space_group_name_H-M 'F -4 3 m'
_symmetry_Int_Tables_number 216
_symmetry_space_group_name_Hall 'F -4 2 3'
_cell_length_a 7.454
_cell_length_b 7.454
_cell_length_c 7.454
_cell_angle_alpha 90.00
_cell_angle_beta 90.00
_cell_angle_gamma 90.00
loop_
_atom_site_label
_atom_site_fract_x
_atom_site_fract_y
_atom_site_fract_z
_atom_site_occupancy
Sr1 0.000 0.000 0.000 1
La1 0.000 0.000 0.500 1
Pt1 0.250 0.250 0.750 1
Au1 0.250 0.250 0.250 1

***

# PBE-GGA LiP4Br12O4, relaxed
# - Total DFT energy (no corrections): -80.591 eV/cell
# - Mass density: 2.46 g/cm³
# - Volume: 779.78 Å³ per cell
# - ΔE_f (raw): -816 meV/atom
# - E above lowest polymorph: 0.006 eV per atom
data_LiP4Br12O4
_chemical_formula_sum 'Li1 P4 Br12 O4'
_symmetry_space_group_name_H-M 'P 1 m 1'
_symmetry_Int_Tables_number 6
_cell_length_a 6.168
_cell_length_b 11.319
_cell_length_c 11.201
_cell_angle_alpha 90.00
_cell_angle_beta 94.30
_cell_angle_gamma 90.00
loop_
_symmetry_equiv_pos_as_xyz
'x,y,z'
'x,-y,z'
loop_
_atom_site_label
_atom_site_fract_x
_atom_site_fract_y
_atom_site_fract_z
_atom_site_occupancy
Li1 0.000 0.000 0.000 1
P1 0.340 0.500 0.337 1
P2 0.464 0.000 0.027 1
P3 0.802 0.000 0.509 1
P4 0.970 0.500 0.851 1
Br1 0.032 0.000 0.669 1
Br2 0.123 0.346 0.317 1
Br3 0.190 0.347 0.843 1
Br4 0.271 0.000 0.204 1
Br5 0.522 0.500 0.177 1
Br6 0.593 0.155 0.532 1
Br7 0.702 0.165 0.993 1
Br8 0.776 0.500 0.679 1
O1 0.280 0.000 0.930 1
O2 0.478 0.500 0.451 1
O3 0.842 0.500 0.957 1
O4 0.907 0.000 0.395 1

***

# PBE-GGA AlC2O6, relaxed
# - Total DFT energy (no corrections): -66.159 eV/cell
# - Mass density: 2.15 g/cm³
# - Volume: 113.41 Å³ per cell
# - ΔE_f (raw): -1580 meV/atom
data_AlC2O6
_chemical_formula_sum 'Al1 C2 O6'
_symmetry_space_group_name_H-M 'P -3 m 1'
_symmetry_Int_Tables_number 164
_symmetry_space_group_name_Hall '-P 3 2"'
_cell_length_a 4.8504
_cell_length_b 4.8504
_cell_length_c 5.5661
_cell_angle_alpha 90.00
_cell_angle_beta 90.00
_cell_angle_gamma 120.00
loop_
_atom_site_label
_atom_site_fract_x
_atom_site_fract_y
_atom_site_fract_z
_atom_site_occupancy
Al1 0.0000 0.0000 0.0000 1
C1 0.3333 0.6667 0.8055 1
O1 0.1809 0.3617 0.7994 1

***

no.,M_tot (μB per atom)
1,0.44
2,0.00
3,0.09
4,0.00
5,0.04
6,0.15
7,0.00
8,0.00
9,0.00
10,0.00
11,0.05
12,0.06